NdY2Zn4 GGA-PBE optimized geometry; magnetization = 0.00 μB per formula unit
1.0
-2.618 2.618 6.259
2.618 -2.618 6.259
2.618 2.618 -6.259
Nd Y Zn
1 2 4
direct
0.000 0.000 0.000
0.279 0.279 0.000
0.721 0.721 0.000
0.113 0.613 0.500
0.387 0.887 0.500
0.613 0.113 0.500
0.887 0.387 0.500

NdYZn2 GGA-PBE optimized geometry; energy above the lowest structure with this stoichiometry = 0 meV per atom; magnetization = 0.00 μB per formula unit
1.0
0.000 3.636 3.636
3.636 0.000 3.636
3.636 3.636 0.000
Nd Y Zn
1 1 2
direct
0.000 0.000 0.000
0.500 0.500 0.500
0.250 0.250 0.250
0.750 0.750 0.750

Nd2Y3Zn2 GGA-PBE optimized geometry; magnetization = 0.00 μB per formula unit
1.0
5.869 -2.385 0.000
5.869 2.385 0.000
-3.750 0.000 7.227
Nd Y Zn
2 3 2
direct
0.139 0.139 0.298
0.861 0.861 0.702
0.365 0.365 0.033
0.500 0.500 0.500
0.635 0.635 0.967
0.141 0.141 0.691
0.859 0.859 0.309

Nd3YZn2 GGA-PBE optimized geometry; energy above the lowest structure with this stoichiometry = 0 meV per atom; magnetization = 0.00 μB per formula unit
1.0
3.691 0.000 0.000
0.000 3.691 0.000
0.000 0.000 12.381
Nd Y Zn
3 1 2
direct
0.000 0.000 0.000
0.000 0.000 0.293
0.000 0.000 0.707
0.500 0.500 0.500
0.500 0.500 0.147
0.500 0.500 0.853

NdY2Zn9 GGA-PBE optimized geometry; magnetization = 0.00 μB per formula unit
1.0
2.740 1.582 8.626
-2.740 1.582 8.626
0.000 -3.164 8.626
Nd Y Zn
1 2 9
direct
0.000 0.000 0.000
0.140 0.140 0.140
0.860 0.860 0.860
0.077 0.586 0.586
0.335 0.335 0.335
0.414 0.414 0.923
0.414 0.923 0.414
0.500 0.500 0.500
0.586 0.077 0.586
0.586 0.586 0.077
0.665 0.665 0.665
0.923 0.414 0.414

Nd2YZn2 GGA-PBE optimized geometry; energy above the lowest structure with this stoichiometry = 0 meV per atom; magnetization = 0.00 μB per formula unit
1.0
3.689 0.000 0.000
0.000 5.204 0.000
-1.850 0.000 13.674
Nd Y Zn
4 2 4
direct
0.046 0.250 0.091
0.231 0.250 0.463
0.769 0.750 0.537
0.954 0.750 0.909
0.143 0.750 0.284
0.857 0.250 0.716
0.361 0.750 0.723
0.447 0.250 0.895
0.553 0.750 0.105
0.639 0.250 0.277

Respective formation energy from the elements values: -149.4, -328.8, -89.5, -199.0, -328.4, -247.1 meV per atom.